A geometry-optimized Te2ICl structure. Source: Alexandria, functional PBE-GGA.

electronic total energy	-1.981	eV per atom
uncorrected formation energy	0.4387	eV per atom
E above lowest polymorph	460	meV/atom
magnetization	0.0	μB per formula unit

Unit cell a=5.4213 b=5.4213 c=5.4213 alpha=60.00 beta=60.00 gamma=60.00
Closest atoms and distances in Å follow each position.
Fractional positions:
Cl 0.0000 0.0000 0.0000  8 Te 3.32
Te 0.2500 0.2500 0.2500  4 I 3.32, 4 Cl 3.32
Te 0.7500 0.7500 0.7500  4 Cl 3.32, 4 I 3.32
I 0.5000 0.5000 0.5000  8 Te 3.32